# PBEsol Li2ZnIn, relaxed
# ΔH_f (0 K) (eV per atom): -0.01
data_Li2ZnIn
_cell_length_a 7.324
_cell_length_b 7.324
_cell_length_c 5.536
_cell_angle_alpha 90.00
_cell_angle_beta 90.00
_cell_angle_gamma 90.00
_space_group_name_H-M_alt 'I -4 2 d'
_space_group_IT_number 122
_space_group_name_Hall 'I -4 2bw'
loop_
_atom_site_label
_atom_site_type_symbol
_atom_site_fract_x
_atom_site_fract_y
_atom_site_fract_z
Li1 Li 0.226 0.750 0.125
Zn1 Zn 0.000 0.000 0.000
In1 In 0.000 0.000 0.500

---

# PBEsol Sr2RhF, relaxed
# E_form (uncorrected) (eV per atom): -1.10
data_Sr2RhF
_cell_length_a 6.991
_cell_length_b 6.991
_cell_length_c 6.991
_cell_angle_alpha 90.00
_cell_angle_beta 90.00
_cell_angle_gamma 90.00
_space_group_name_H-M_alt 'F m -3 m'
_space_group_IT_number 225
_space_group_name_Hall '-F 4 2 3'
loop_
_atom_site_label
_atom_site_type_symbol
_atom_site_fract_x
_atom_site_fract_y
_atom_site_fract_z
Sr1 Sr 0.250 0.250 0.250
Rh1 Rh 0.000 0.000 0.000
F1 F 0.000 0.000 0.500

---

# PBEsol Cd2HgAu, relaxed
# Distance to the lowest polymorph of the same formula (meV/atom): 0
# ΔH_f (0 K) (eV per atom): -0.08
data_Cd2HgAu
_cell_length_a 3.181
_cell_length_b 4.719
_cell_length_c 5.178
_cell_angle_alpha 90.00
_cell_angle_beta 90.00
_cell_angle_gamma 90.00
_space_group_name_H-M_alt 'P m m 2'
_space_group_IT_number 25
loop_
_space_group_symop_operation_xyz
'x,y,z'
'-x,-y,z'
'-x,y,z'
'x,-y,z'
loop_
_atom_site_label
_atom_site_type_symbol
_atom_site_fract_x
_atom_site_fract_y
_atom_site_fract_z
Cd1 Cd 0.000 0.000 0.000
Cd2 Cd 0.000 0.500 0.355
Hg1 Hg 0.500 0.500 0.845
Au1 Au 0.500 0.000 0.494

---

# PBEsol Ce5AgPb3, relaxed
# ΔH_f (0 K) (eV per atom): -0.28
data_Ce5AgPb3
_cell_length_a 9.4699
_cell_length_b 9.4699
_cell_length_c 6.4128
_cell_angle_alpha 90.00
_cell_angle_beta 90.00
_cell_angle_gamma 120.00
_space_group_name_H-M_alt 'P 63/m c m'
_space_group_IT_number 193
_space_group_name_Hall '-P 6c 2'
loop_
_atom_site_label
_atom_site_type_symbol
_atom_site_fract_x
_atom_site_fract_y
_atom_site_fract_z
Ce1 Ce 0.0000 0.2847 0.2500
Ce2 Ce 0.3333 0.6667 0.0000
Ag1 Ag 0.0000 0.0000 0.0000
Pb1 Pb 0.0000 0.3706 0.7500

---

# PBEsol CsTc2S2, relaxed
# E_form (uncorrected) (eV per atom): 0.09
data_CsTc2S2
_cell_length_a 4.627
_cell_length_b 4.627
_cell_length_c 8.751
_cell_angle_alpha 90.00
_cell_angle_beta 90.00
_cell_angle_gamma 90.00
_space_group_name_H-M_alt 'I 4/m m m'
_space_group_IT_number 139
_space_group_name_Hall '-I 4 2'
loop_
_atom_site_label
_atom_site_type_symbol
_atom_site_fract_x
_atom_site_fract_y
_atom_site_fract_z
Cs1 Cs 0.000 0.000 0.000
Tc1 Tc 0.000 0.000 0.373
S1 S 0.000 0.500 0.250

---

# PBEsol Hf2ReHgAs, relaxed
# ΔH_f (0 K) (eV per atom): 1.94
data_Hf2ReHgAs
_cell_length_a 5.123
_cell_length_b 5.123
_cell_length_c 4.658
_cell_angle_alpha 90.00
_cell_angle_beta 90.00
_cell_angle_gamma 90.00
_space_group_name_H-M_alt 'P 4/m m m'
_space_group_IT_number 123
_space_group_name_Hall '-P 4 2'
loop_
_atom_site_label
_atom_site_type_symbol
_atom_site_fract_x
_atom_site_fract_y
_atom_site_fract_z
Hf1 Hf 0.000 0.500 0.000
Re1 Re 0.000 0.000 0.500
Hg1 Hg 0.500 0.500 0.000
As1 As 0.500 0.500 0.500

---

Values for calculated total energy, eV/atom, ordered as above
-2.131 -4.536 -1.800 -5.649 -6.360 -6.061